Record 1
## VPIrS2 (PBE)

Data for crystalline VPIrS2 at its relaxed geometry.

Computed properties:
- Formation energy without anion corrections: 683.7 meV/atom
- Offset from the most stable computed form: 0 kJ/mol of formula units
- DFT total energy: -5.645 eV/atom

a = 4.8496 Å, b = 4.8496 Å, c = 4.3429 Å
α = 90.00°, β = 90.00°, γ = 90.00°
Atoms (fractional coordinates):
V (0.0000, 0.0000, 0.0000)
P (0.5000, 0.5000, 0.0000)
Ir (0.5000, 0.5000, 0.5000)
S (0.0000, 0.5000, 0.5000)
S (0.5000, 0.0000, 0.5000)

Record 2
## Co5P (PBE)

Data for crystalline Co5P at its relaxed geometry.

Computed properties:
- Offset from the most stable computed form: 2 kJ/mol of formula units
- DFT total energy: -6.919 eV/atom

a = 8.7507 Å, b = 2.6715 Å, c = 5.9084 Å
α = 90.00°, β = 110.44°, γ = 90.00°
Atoms (fractional coordinates):
Co (0.0000, 0.0000, 0.0000)
Co (0.1439, 0.5000, 0.3524)
Co (0.1711, 0.5000, 0.8154)
Co (0.3289, 0.0000, 0.1846)
Co (0.3561, 0.0000, 0.6476)
Co (0.5000, 0.5000, 0.0000)
Co (0.6439, 0.0000, 0.3524)
Co (0.6711, 0.0000, 0.8154)
Co (0.8289, 0.5000, 0.1846)
Co (0.8561, 0.5000, 0.6476)
P (0.0000, 0.0000, 0.5000)
P (0.5000, 0.5000, 0.5000)

Record 3
## HoBeSiIr (PBE)

Data for crystalline HoBeSiIr at its relaxed geometry.

Computed properties:
- Formation energy without anion corrections: -377.5 meV/atom
- DFT total energy: -6.025 eV/atom

a = 3.9845 Å, b = 4.0285 Å, c = 8.6793 Å
α = 90.00°, β = 90.00°, γ = 90.00°
Atoms (fractional coordinates):
Ho (0.0000, 0.0000, 0.0000)
Ho (0.5000, 0.5000, 0.5000)
Be (0.0000, 0.5000, 0.2387)
Be (0.5000, 0.0000, 0.7387)
Si (0.0000, 0.0000, 0.3488)
Si (0.5000, 0.5000, 0.8488)
Ir (0.0000, 0.0000, 0.6171)
Ir (0.5000, 0.5000, 0.1171)

Record 4
## Pa3Sb3C (PBE)

Data for crystalline Pa3Sb3C at its relaxed geometry.

Computed properties:
- Formation energy without anion corrections: -391.1 meV/atom
- DFT total energy: -7.545 eV/atom

a = 6.5916 Å, b = 6.5916 Å, c = 8.4078 Å
α = 97.33°, β = 97.33°, γ = 103.70°
Atoms (fractional coordinates):
Pa (0.0960, 0.4457, 0.7781)
Pa (0.1452, 0.1452, 0.3700)
Pa (0.4457, 0.0960, 0.7781)
Pa (0.5543, 0.9040, 0.2219)
Pa (0.8548, 0.8548, 0.6300)
Pa (0.9040, 0.5543, 0.2219)
Sb (0.1413, 0.8587, 0.0000)
Sb (0.3035, 0.6965, 0.5000)
Sb (0.3893, 0.3893, 0.1245)
Sb (0.6107, 0.6107, 0.8755)
Sb (0.6965, 0.3035, 0.5000)
Sb (0.8587, 0.1413, 0.0000)
C (0.1428, 0.1428, 0.6442)
C (0.8572, 0.8572, 0.3558)

Record 5
## LiTbY2Hg4 (PBE)

Data for crystalline LiTbY2Hg4 at its relaxed geometry.

Computed properties:
- DFT total energy: -3.049 eV/atom

a = 9.0624 Å, b = 9.0624 Å, c = 9.0624 Å
α = 33.04°, β = 33.04°, γ = 33.04°
Atoms (fractional coordinates):
Li (0.0000, 0.0000, 0.0000)
Tb (0.5000, 0.5000, 0.5000)
Y (0.2552, 0.2552, 0.2552)
Y (0.7448, 0.7448, 0.7448)
Hg (0.1224, 0.1224, 0.1224)
Hg (0.3746, 0.3746, 0.3746)
Hg (0.6254, 0.6254, 0.6254)
Hg (0.8776, 0.8776, 0.8776)

Record 6
## PmDyTmMg (PBE)

Data for crystalline PmDyTmMg at its relaxed geometry.

Computed properties:
- Offset from the most stable computed form: 0 kJ/mol of formula units
- DFT total energy: -3.879 eV/atom

a = 3.6111 Å, b = 3.6111 Å, c = 9.1478 Å
α = 90.00°, β = 90.00°, γ = 90.00°
Atoms (fractional coordinates):
Pm (0.0000, 0.0000, 0.0000)
Dy (0.5000, 0.5000, 0.7270)
Tm (0.5000, 0.5000, 0.2692)
Mg (0.0000, 0.0000, 0.4948)

Record 7
## Li2CaAgF (PBE)

Data for crystalline Li2CaAgF at its relaxed geometry.

Computed properties:
- Formation energy without anion corrections: -1168.4 meV/atom
- DFT total energy: -3.279 eV/atom

a = 4.3850 Å, b = 4.3850 Å, c = 4.6967 Å
α = 90.00°, β = 90.00°, γ = 90.00°
Atoms (fractional coordinates):
Li (0.0000, 0.5000, 0.0000)
Li (0.5000, 0.0000, 0.0000)
Ca (0.0000, 0.0000, 0.5000)
Ag (0.5000, 0.5000, 0.5000)
F (0.0000, 0.0000, 0.0000)

Record 8
## MgCo2Ru (PBE)

Data for crystalline MgCo2Ru at its relaxed geometry.

Computed properties:
- DFT total energy: -6.127 eV/atom

a = 9.3675 Å, b = 2.6945 Å, c = 4.4674 Å
α = 90.00°, β = 112.49°, γ = 90.00°
Atoms (fractional coordinates):
Mg (0.0000, 0.0000, 0.0000)
Mg (0.5000, 0.5000, 0.0000)
Co (0.0215, 0.5000, 0.5035)
Co (0.2393, 0.0000, 0.8467)
Co (0.5215, 0.0000, 0.5035)
Co (0.7393, 0.5000, 0.8467)
Ru (0.2788, 0.5000, 0.3697)
Ru (0.7788, 0.0000, 0.3697)

Record 9
## Fe2SbPd8 (PBE)

Data for crystalline Fe2SbPd8 at its relaxed geometry.

Computed properties:
- Formation energy without anion corrections: -195.1 meV/atom
- Offset from the most stable computed form: 0 kJ/mol of formula units
- DFT total energy: -5.885 eV/atom

a = 7.3176 Å, b = 7.3176 Å, c = 6.1959 Å
α = 104.81°, β = 104.81°, γ = 31.98°
Atoms (fractional coordinates):
Fe (0.2217, 0.2217, 0.1499)
Fe (0.7783, 0.7783, 0.8501)
Sb (0.5000, 0.5000, 0.5000)
Pd (0.0441, 0.0441, 0.2340)
Pd (0.1525, 0.1525, 0.7154)
Pd (0.3188, 0.3188, 0.5793)
Pd (0.4001, 0.4001, 0.0349)
Pd (0.5999, 0.5999, 0.9651)
Pd (0.6812, 0.6812, 0.4207)
Pd (0.8475, 0.8475, 0.2846)
Pd (0.9559, 0.9559, 0.7660)

Record 10
## TbPaRu3 (PBE)

Data for crystalline TbPaRu3 at its relaxed geometry.

Computed properties:
- DFT total energy: -8.689 eV/atom

a = 6.5124 Å, b = 6.5124 Å, c = 6.5124 Å
α = 126.65°, β = 109.34°, γ = 94.13°
Atoms (fractional coordinates):
Tb (0.2586, 0.0086, 0.2500)
Tb (0.7414, 0.9914, 0.7500)
Pa (0.0000, 0.5000, 0.5000)
Pa (0.5000, 0.5000, 0.0000)
Ru (0.0546, 0.3046, 0.7500)
Ru (0.3110, 0.0000, 0.8110)
Ru (0.3110, 0.5000, 0.3110)
Ru (0.6890, 0.0000, 0.1890)
Ru (0.6890, 0.5000, 0.6890)
Ru (0.9454, 0.6954, 0.2500)

Record 11
## ReAs (PBE)

Data for crystalline ReAs at its relaxed geometry.

Computed properties:
- Offset from the most stable computed form: 0 kJ/mol of formula units
- DFT total energy: -8.474 eV/atom

a = 2.9239 Å, b = 2.9239 Å, c = 8.1146 Å
α = 90.00°, β = 90.00°, γ = 90.00°
Atoms (fractional coordinates):
Re (0.2500, 0.2500, 0.1075)
Re (0.7500, 0.7500, 0.8925)
As (0.2500, 0.2500, 0.6820)
As (0.7500, 0.7500, 0.3180)

Record 12
## NdZrNiIr (PBE)

Data for crystalline NdZrNiIr at its relaxed geometry.

Computed properties:
- DFT total energy: -7.383 eV/atom

a = 6.7930 Å, b = 6.7930 Å, c = 6.7930 Å
α = 90.00°, β = 90.00°, γ = 90.00°
Atoms (fractional coordinates):
Nd (0.0000, 0.0000, 0.0000)
Nd (0.0000, 0.5000, 0.5000)
Nd (0.5000, 0.0000, 0.5000)
Nd (0.5000, 0.5000, 0.0000)
Zr (0.0000, 0.0000, 0.5000)
Zr (0.0000, 0.5000, 0.0000)
Zr (0.5000, 0.0000, 0.0000)
Zr (0.5000, 0.5000, 0.5000)
Ni (0.2500, 0.2500, 0.7500)
Ni (0.2500, 0.7500, 0.2500)
Ni (0.7500, 0.2500, 0.2500)
Ni (0.7500, 0.7500, 0.7500)
Ir (0.2500, 0.2500, 0.2500)
Ir (0.2500, 0.7500, 0.7500)
Ir (0.7500, 0.2500, 0.7500)
Ir (0.7500, 0.7500, 0.2500)

Record 13
## Ti3ZnN (PBE)

Data for crystalline Ti3ZnN at its relaxed geometry.

Computed properties:
- Formation energy without anion corrections: -726.1 meV/atom
- Offset from the most stable computed form: 83 kJ/mol of formula units
- DFT total energy: -7.383 eV/atom

a = 4.9214 Å, b = 5.8090 Å, c = 4.9839 Å
α = 90.00°, β = 90.00°, γ = 90.00°
Atoms (fractional coordinates):
Ti (0.2500, 0.0000, 0.1776)
Ti (0.2500, 0.2425, 0.6813)
Ti (0.2500, 0.7575, 0.6813)
Ti (0.7500, 0.0000, 0.8224)
Ti (0.7500, 0.2425, 0.3187)
Ti (0.7500, 0.7575, 0.3187)
Zn (0.2500, 0.5000, 0.1851)
Zn (0.7500, 0.5000, 0.8149)
N (0.0000, 0.0000, 0.5000)
N (0.5000, 0.0000, 0.5000)

Record 14
## TlGa2AuBr8 (PBE)

Data for crystalline TlGa2AuBr8 at its relaxed geometry.

Computed properties:
- Formation energy without anion corrections: -665.1 meV/atom
- DFT total energy: -2.755 eV/atom

a = 6.8869 Å, b = 6.8869 Å, c = 9.8987 Å
α = 90.00°, β = 90.00°, γ = 120.00°
Atoms (fractional coordinates):
Tl (0.0000, 0.0000, 0.0000)
Ga (0.3333, 0.6667, 0.7550)
Ga (0.6667, 0.3333, 0.2450)
Au (0.0000, 0.0000, 0.5000)
Br (0.0101, 0.3317, 0.6819)
Br (0.3217, 0.9899, 0.6819)
Br (0.3317, 0.3217, 0.3181)
Br (0.3333, 0.6667, 0.9934)
Br (0.6667, 0.3333, 0.0066)
Br (0.6683, 0.6783, 0.6819)
Br (0.6783, 0.0101, 0.3181)
Br (0.9899, 0.6683, 0.3181)

Record 15
## NpAgSb2 (PBE)

Data for crystalline NpAgSb2 at its relaxed geometry.

Computed properties:
- Formation energy without anion corrections: 61.5 meV/atom
- DFT total energy: -5.948 eV/atom

a = 7.3375 Å, b = 7.3375 Å, c = 7.3375 Å
α = 90.00°, β = 90.00°, γ = 90.00°
Atoms (fractional coordinates):
Np (0.0000, 0.0000, 0.0000)
Np (0.0000, 0.5000, 0.5000)
Np (0.5000, 0.0000, 0.5000)
Np (0.5000, 0.5000, 0.0000)
Ag (0.0000, 0.0000, 0.5000)
Ag (0.0000, 0.5000, 0.0000)
Ag (0.5000, 0.0000, 0.0000)
Ag (0.5000, 0.5000, 0.5000)
Sb (0.2500, 0.2500, 0.2500)
Sb (0.2500, 0.2500, 0.7500)
Sb (0.2500, 0.7500, 0.2500)
Sb (0.2500, 0.7500, 0.7500)
Sb (0.7500, 0.2500, 0.2500)
Sb (0.7500, 0.2500, 0.7500)
Sb (0.7500, 0.7500, 0.2500)
Sb (0.7500, 0.7500, 0.7500)

Record 16
## NaBi2As (PBE)

Data for crystalline NaBi2As at its relaxed geometry.

Computed properties:
- DFT total energy: -3.520 eV/atom

a = 5.9091 Å, b = 7.3134 Å, c = 11.9018 Å
α = 90.00°, β = 90.00°, γ = 90.00°
Atoms (fractional coordinates):
Na (0.0000, 0.0722, 0.2500)
Na (0.0000, 0.9278, 0.7500)
Na (0.5000, 0.4278, 0.7500)
Na (0.5000, 0.5722, 0.2500)
Bi (0.0000, 0.3110, 0.5539)
Bi (0.0000, 0.3110, 0.9461)
Bi (0.0000, 0.6890, 0.0539)
Bi (0.0000, 0.6890, 0.4461)
Bi (0.5000, 0.1890, 0.0539)
Bi (0.5000, 0.1890, 0.4461)
Bi (0.5000, 0.8110, 0.5539)
Bi (0.5000, 0.8110, 0.9461)
As (0.0000, 0.4809, 0.2500)
As (0.0000, 0.5191, 0.7500)
As (0.5000, 0.0191, 0.7500)
As (0.5000, 0.9809, 0.2500)

Record 17
## Ac3PmNd4 (PBE)

Data for crystalline Ac3PmNd4 at its relaxed geometry.

Computed properties:
- DFT total energy: -4.490 eV/atom

a = 10.8061 Å, b = 7.5483 Å, c = 7.5462 Å
α = 90.00°, β = 90.00°, γ = 90.00°
Atoms (fractional coordinates):
Ac (0.0000, 0.0005, 0.0000)
Ac (0.2503, 0.2564, 0.2500)
Ac (0.2497, 0.7436, 0.7500)
Ac (0.5000, 0.9995, 0.5000)
Ac (0.7497, 0.2564, 0.2500)
Ac (0.7503, 0.7436, 0.7500)
Pm (0.0000, 0.4998, 0.5000)
Pm (0.5000, 0.5002, 0.0000)
Nd (0.0000, 0.0003, 0.5000)
Nd (0.0000, 0.4999, 0.0001)
Nd (0.2502, 0.2508, 0.7500)
Nd (0.2498, 0.7492, 0.2500)
Nd (0.5000, 0.9997, 0.0000)
Nd (0.5000, 0.5001, 0.5001)
Nd (0.7498, 0.2508, 0.7500)
Nd (0.7502, 0.7492, 0.2500)

Record 18
## Pa2TiSe6 (PBE)

Data for crystalline Pa2TiSe6 at its relaxed geometry.

Computed properties:
- Formation energy without anion corrections: -1300.6 meV/atom
- DFT total energy: -6.611 eV/atom

a = 6.3766 Å, b = 7.3863 Å, c = 11.0039 Å
α = 90.00°, β = 124.96°, γ = 90.00°
Atoms (fractional coordinates):
Pa (0.2021, 0.1298, 0.2500)
Pa (0.2021, 0.3702, 0.7500)
Pa (0.7979, 0.6298, 0.2500)
Pa (0.7979, 0.8702, 0.7500)
Ti (0.5000, 0.0000, 0.0000)
Ti (0.5000, 0.5000, 0.5000)
Se (0.0960, 0.1741, 0.9389)
Se (0.0960, 0.3259, 0.4389)
Se (0.2880, 0.6835, 0.9388)
Se (0.2880, 0.8165, 0.4388)
Se (0.3801, 0.0336, 0.7360)
Se (0.3801, 0.4664, 0.2360)
Se (0.6199, 0.5336, 0.7640)
Se (0.6199, 0.9664, 0.2640)
Se (0.7120, 0.1835, 0.5612)
Se (0.7120, 0.3165, 0.0612)
Se (0.9040, 0.6741, 0.5611)
Se (0.9040, 0.8259, 0.0611)

Record 19
## SrYNi2 (PBE)

Data for crystalline SrYNi2 at its relaxed geometry.

Computed properties:
- Offset from the most stable computed form: 119 kJ/mol of formula units
- DFT total energy: -4.793 eV/atom

a = 4.0731 Å, b = 4.0731 Å, c = 5.7604 Å
α = 90.00°, β = 90.00°, γ = 90.00°
Atoms (fractional coordinates):
Sr (0.0000, 0.0000, 0.0000)
Y (0.5000, 0.5000, 0.4952)
Ni (0.0000, 0.0000, 0.5007)
Ni (0.5000, 0.5000, 0.9933)

Record 20
## RbNa3Br3 (PBE)

Data for crystalline RbNa3Br3 at its relaxed geometry.

Computed properties:
- Formation energy without anion corrections: -1226.3 meV/atom
- DFT total energy: -2.647 eV/atom

a = 8.2742 Å, b = 8.2742 Å, c = 8.2742 Å
α = 90.00°, β = 90.00°, γ = 90.00°
Atoms (fractional coordinates):
Rb (0.0000, 0.0000, 0.0000)
Rb (0.5000, 0.5000, 0.5000)
Na (0.0000, 0.2500, 0.5000)
Na (0.0000, 0.7500, 0.5000)
Na (0.2500, 0.5000, 0.0000)
Na (0.5000, 0.0000, 0.2500)
Na (0.5000, 0.0000, 0.7500)
Na (0.7500, 0.5000, 0.0000)
Br (0.0000, 0.5000, 0.2500)
Br (0.0000, 0.5000, 0.7500)
Br (0.2500, 0.0000, 0.5000)
Br (0.5000, 0.2500, 0.0000)
Br (0.5000, 0.7500, 0.0000)
Br (0.7500, 0.0000, 0.5000)

Record 21
## Ti2V3Co8 (PBE)

Data for crystalline Ti2V3Co8 at its relaxed geometry.

Computed properties:
- DFT total energy: -7.731 eV/atom

a = 6.0802 Å, b = 6.0802 Å, c = 4.6946 Å
α = 98.68°, β = 98.68°, γ = 72.03°
Atoms (fractional coordinates):
Ti (0.2304, 0.2304, 0.1573)
Ti (0.7696, 0.7696, 0.8427)
V (0.2953, 0.7047, 0.0000)
V (0.5000, 0.5000, 0.5000)
V (0.7047, 0.2953, 0.0000)
Co (0.0235, 0.0235, 0.7600)
Co (0.1012, 0.6414, 0.4903)
Co (0.3023, 0.3023, 0.7325)
Co (0.3586, 0.8988, 0.5097)
Co (0.6414, 0.1012, 0.4903)
Co (0.6977, 0.6977, 0.2675)
Co (0.8988, 0.3586, 0.5097)
Co (0.9765, 0.9765, 0.2400)

Record 22
## K2TaAs (PBE)

Data for crystalline K2TaAs at its relaxed geometry.

Computed properties:
- DFT total energy: -4.204 eV/atom

a = 3.7360 Å, b = 6.1424 Å, c = 12.1589 Å
α = 90.00°, β = 90.00°, γ = 90.00°
Atoms (fractional coordinates):
K (0.0000, 0.0000, 0.0000)
K (0.0000, 0.5000, 0.1890)
K (0.5000, 0.0000, 0.6890)
K (0.5000, 0.5000, 0.5000)
Ta (0.0000, 0.5000, 0.8170)
Ta (0.5000, 0.0000, 0.3170)
As (0.0000, 0.0000, 0.4509)
As (0.5000, 0.5000, 0.9509)

Record 23
## Zr2CdFe (PBE)

Data for crystalline Zr2CdFe at its relaxed geometry.

Computed properties:
- DFT total energy: -6.575 eV/atom

a = 3.5929 Å, b = 5.0073 Å, c = 8.5936 Å
α = 90.00°, β = 90.00°, γ = 90.00°
Atoms (fractional coordinates):
Zr (0.0000, 0.0000, 0.2048)
Zr (0.0000, 0.0000, 0.7952)
Zr (0.5000, 0.5000, 0.2952)
Zr (0.5000, 0.5000, 0.7048)
Cd (0.0000, 0.5000, 0.0000)
Cd (0.5000, 0.0000, 0.5000)
Fe (0.0000, 0.5000, 0.5000)
Fe (0.5000, 0.0000, 0.0000)